No. 1
{
  "formula": "MnInGe2",
  "functional": "GGA-PBE",
  "state": "optimized geometry",
  "cell": [[-2.483, -3.700, 0.152], [2.585, -1.863, -3.118], [5.060, -5.895, 4.530]],
  "species": ["Ge", "Ge", "Ge", "Ge", "In", "In", "Mn", "Mn"],
  "fractional_positions": [[0.375, 0.464, 0.750], [0.875, 0.786, 0.750], [0.214, 0.625, 0.250], [0.536, 0.125, 0.250], [0.750, 0.250, 0.500], [0.000, 0.000, 0.000], [0.250, 0.750, 0.500], [0.500, 0.500, 0.000]],
  "total_magnetization_mub_per_cell": 6.8,
  "delta_e_f_ev_per_atom": 0.267
}

***

No. 2
{
  "formula": "In2GeIrBr",
  "functional": "GGA-PBE",
  "state": "optimized geometry",
  "cell": [[-1.086, 4.991, -1.368], [-4.241, -1.659, -2.687], [-2.627, 0.483, 3.847]],
  "species": ["In", "In", "Ir", "Br", "Ge"],
  "fractional_positions": [[0.000, 0.500, 0.000], [0.500, 0.000, 0.000], [0.000, 0.000, 0.000], [0.500, 0.500, 0.500], [0.000, 0.000, 0.500]],
  "total_magnetization_mub_per_cell": 0.0,
  "formation_energy_uncorrected_ev_per_atom": -0.4058
}

***

No. 3
{
  "formula": "TmUSe2",
  "functional": "GGA-PBE",
  "state": "optimized geometry",
  "cell": [[-2.748, 2.693, 0.804], [-3.451, -1.107, 1.523], [0.530, 1.262, 7.193]],
  "species": ["Se", "Se", "Tm", "U"],
  "fractional_positions": [[0.747, 0.747, 0.760], [0.253, 0.253, 0.240], [0.000, 0.000, 0.000], [0.500, 0.500, 0.500]],
  "relative_energy_mev_per_atom": 0,
  "total_magnetization_mub_per_cell": 2.9,
  "formation_energy_uncorrected_ev_per_atom": -1.3303
}

***

No. 4
{
  "formula": "PtWCl2",
  "functional": "GGA-PBE",
  "state": "optimized geometry",
  "cell": [[5.362, -0.004, -0.002], [-1.667, 5.096, -0.002], [0.957, 1.319, 2.444]],
  "species": ["W", "Cl", "Cl", "Pt"],
  "fractional_positions": [[0.000, 0.500, 0.500], [0.500, 0.500, 0.000], [0.000, 0.000, 0.000], [0.500, 0.000, 0.500]],
  "relative_energy_mev_per_atom": 846,
  "total_magnetization_mub_per_cell": 0.7,
  "formation_energy_uncorrected_ev_per_atom": 0.6868
}

***

No. 5
{
  "formula": "FeSiBrCl2",
  "functional": "GGA-PBE",
  "state": "optimized geometry",
  "cell": [[-4.766, 0.578, -3.745], [-1.584, -3.844, 1.422], [-3.089, 2.892, 4.378]],
  "species": ["Cl", "Cl", "Si", "Fe", "Br"],
  "fractional_positions": [[0.000, 0.000, 0.500], [0.500, 0.000, 0.000], [0.500, 0.500, 0.500], [0.000, 0.500, 0.000], [0.000, 0.000, 0.000]],
  "total_magnetization_mub_per_cell": 2.8,
  "formation_energy_uncorrected_ev_per_atom": 0.9521
}

***

No. 6
{
  "formula": "Te3MoWS",
  "functional": "GGA-PBE",
  "state": "optimized geometry",
  "cell": [[1.916, 1.528, -2.442], [-2.549, 1.754, 1.548], [24.317, 11.922, 26.531]],
  "species": ["Mo", "Mo", "S", "S", "Te", "Te", "Te", "Te", "Te", "Te", "W", "W"],
  "fractional_positions": [[0.667, 0.333, 0.279], [0.333, 0.667, 0.465], [0.333, 0.667, 0.318], [0.333, 0.667, 0.240], [0.333, 0.667, 0.715], [0.667, 0.333, 0.416], [0.667, 0.333, 0.141], [0.667, 0.333, 0.043], [0.333, 0.667, 0.617], [0.667, 0.333, 0.514], [0.667, 0.333, 0.666], [0.333, 0.667, 0.092]],
  "relative_energy_mev_per_atom": 33,
  "total_magnetization_mub_per_cell": 0.0,
  "formation_energy_uncorrected_ev_per_atom": -0.2702
}

***

No. 7
{
  "formula": "RbSbSO4F2",
  "functional": "GGA-PBE",
  "state": "optimized geometry",
  "cell": [[-1.499, -4.581, -2.669], [9.375, -2.629, -0.754], [-0.761, -5.586, 10.015]],
  "species": ["F", "F", "F", "F", "F", "F", "F", "F", "Sb", "Sb", "Sb", "Sb", "O", "O", "O", "O", "O", "O", "O", "O", "O", "O", "O", "O", "O", "O", "O", "O", "Rb", "Rb", "Rb", "Rb", "S", "S", "S", "S"],
  "fractional_positions": [[0.294, 0.874, 0.441], [0.571, 0.186, 0.171], [0.294, 0.374, 0.059], [0.794, 0.626, 0.941], [0.794, 0.126, 0.559], [0.071, 0.314, 0.671], [0.571, 0.686, 0.329], [0.071, 0.814, 0.829], [0.758, 0.327, 0.589], [0.258, 0.673, 0.411], [0.758, 0.827, 0.911], [0.258, 0.173, 0.089], [0.351, 0.427, 0.336], [0.601, 0.265, 0.766], [0.332, 0.713, 0.053], [0.832, 0.287, 0.947], [0.101, 0.735, 0.234], [0.351, 0.927, 0.164], [0.975, 0.866, 0.068], [0.101, 0.235, 0.266], [0.975, 0.366, 0.432], [0.851, 0.073, 0.836], [0.851, 0.573, 0.664], [0.475, 0.134, 0.932], [0.601, 0.765, 0.734], [0.332, 0.213, 0.447], [0.832, 0.787, 0.553], [0.475, 0.634, 0.568], [0.240, 0.518, 0.840], [0.240, 0.018, 0.660], [0.740, 0.982, 0.340], [0.740, 0.482, 0.160], [0.201, 0.808, 0.128], [0.701, 0.692, 0.628], [0.701, 0.192, 0.872], [0.201, 0.308, 0.372]],
  "total_magnetization_mub_per_cell": 0.0,
  "formation_energy_uncorrected_ev_per_atom": -1.8871
}

***

No. 8
{
  "formula": "NdHfTh",
  "functional": "GGA-PBE",
  "state": "optimized geometry",
  "cell": [[3.398, 0.000, 0.000], [0.000, 3.398, 0.000], [-1.699, -1.699, 7.675]],
  "species": ["Th", "Hf", "Nd"],
  "fractional_positions": [[0.679, 0.679, 0.357], [0.331, 0.331, 0.661], [0.991, 0.991, 0.981]],
  "relative_energy_mev_per_atom": 53,
  "total_magnetization_mub_per_cell": 0.0,
  "delta_e_f_ev_per_atom": 0.164
}

***

No. 9
{
  "formula": "La2OsRh",
  "functional": "GGA-PBE",
  "state": "optimized geometry",
  "cell": [[0.000, 3.580, 3.580], [3.580, 0.000, 3.580], [3.580, 3.580, 0.000]],
  "species": ["Rh", "La", "La", "Os"],
  "fractional_positions": [[0.000, 0.000, 0.000], [0.750, 0.750, 0.750], [0.250, 0.250, 0.250], [0.500, 0.500, 0.500]],
  "relative_energy_mev_per_atom": 24,
  "total_magnetization_mub_per_cell": 0.0,
  "delta_e_f_ev_per_atom": -0.217
}

***

No. 10
{
  "formula": "Sr2TaIr3O12",
  "functional": "GGA-PBE",
  "state": "optimized geometry",
  "cell": [[7.243, 0.129, 0.091], [3.689, 6.235, 0.091], [3.689, 2.147, 5.854]],
  "species": ["O", "O", "O", "O", "O", "O", "O", "O", "O", "O", "O", "O", "Ir", "Ir", "Ir", "Sr", "Sr", "Ta"],
  "fractional_positions": [[0.080, 0.665, 0.080], [0.904, 0.330, 0.330], [0.670, 0.096, 0.670], [0.920, 0.335, 0.920], [0.665, 0.080, 0.080], [0.330, 0.330, 0.904], [0.080, 0.080, 0.665], [0.330, 0.904, 0.330], [0.335, 0.920, 0.920], [0.670, 0.670, 0.096], [0.096, 0.670, 0.670], [0.920, 0.920, 0.335], [0.000, 0.500, 0.000], [0.000, 0.000, 0.500], [0.500, 0.000, 0.000], [0.608, 0.608, 0.608], [0.392, 0.392, 0.392], [0.000, 0.000, 0.000]],
  "total_magnetization_mub_per_cell": 0.0,
  "formation_energy_uncorrected_ev_per_atom": -1.5304
}

***

No. 11
{
  "formula": "Mg4Zn2Cu",
  "functional": "GGA-PBE",
  "state": "optimized geometry",
  "cell": [[-2.425, 2.425, 6.734], [2.425, -2.425, 6.734], [2.425, 2.425, -6.734]],
  "species": ["Mg", "Mg", "Mg", "Mg", "Zn", "Zn", "Cu"],
  "fractional_positions": [[0.189, 0.189, 0.000], [0.811, 0.811, 0.000], [0.500, 0.000, 0.500], [0.000, 0.500, 0.500], [0.613, 0.613, 0.000], [0.387, 0.387, 0.000], [0.000, 0.000, 0.000]],
  "relative_energy_mev_per_atom": 230,
  "total_magnetization_mub_per_cell": 0.0,
  "delta_e_f_ev_per_atom": 0.189
}

***

No. 12
{
  "formula": "Na2IN",
  "functional": "GGA-PBE",
  "state": "optimized geometry",
  "cell": [[9.338, 0.000, 0.000], [0.000, 9.338, 0.000], [4.669, 4.669, 2.571]],
  "species": ["Na", "Na", "Na", "Na", "N", "N", "I", "I"],
  "fractional_positions": [[0.376, 0.125, 0.250], [0.374, 0.625, 0.250], [0.375, 0.624, 0.750], [0.875, 0.626, 0.750], [0.250, 0.750, 0.500], [0.500, 0.500, 0.000], [0.750, 0.250, 0.500], [0.000, 0.000, 0.000]],
  "relative_energy_mev_per_atom": 0,
  "total_magnetization_mub_per_cell": 0.0,
  "formation_energy_uncorrected_ev_per_atom": 0.2007
}

***

No. 13
{
  "formula": "Pu2Tl3ZnO9",
  "functional": "GGA-PBE",
  "state": "optimized geometry",
  "cell": [[5.989, 0.000, 0.000], [-2.994, 5.187, 0.000], [0.000, 0.000, 7.367]],
  "species": ["O", "O", "O", "O", "O", "O", "O", "O", "O", "Tl", "Tl", "Tl", "Pu", "Pu", "Zn"],
  "fractional_positions": [[0.826, 0.653, 0.676], [0.826, 0.174, 0.676], [0.347, 0.174, 0.676], [0.500, 0.000, 0.000], [0.500, 0.500, 0.000], [0.174, 0.826, 0.324], [0.653, 0.826, 0.324], [0.000, 0.500, 0.000], [0.174, 0.347, 0.324], [0.000, 0.000, 0.000], [0.333, 0.667, 0.654], [0.667, 0.333, 0.346], [0.667, 0.333, 0.829], [0.333, 0.667, 0.171], [0.000, 0.000, 0.500]],
  "total_magnetization_mub_per_cell": 3.0,
  "formation_energy_uncorrected_ev_per_atom": -1.7027
}

***

No. 14
{
  "formula": "La2PmTm",
  "functional": "GGA-PBE",
  "state": "optimized geometry",
  "cell": [[5.829, 0.000, 0.000], [2.915, 5.048, 0.000], [2.915, 1.683, 4.759]],
  "species": ["Pm", "La", "La", "Tm"],
  "fractional_positions": [[0.000, 0.000, 0.000], [0.750, 0.750, 0.750], [0.250, 0.250, 0.250], [0.500, 0.500, 0.500]],
  "relative_energy_mev_per_atom": 83,
  "total_magnetization_mub_per_cell": 0.0,
  "delta_e_f_ev_per_atom": 0.098
}

***

No. 15
{
  "formula": "ErTcBiO6",
  "functional": "GGA-PBE",
  "state": "optimized geometry",
  "cell": [[-0.013, -5.039, -2.192], [4.250, -3.377, 0.850], [-2.179, -1.735, 4.001]],
  "species": ["Tc", "O", "O", "O", "O", "O", "O", "Er", "Bi"],
  "fractional_positions": [[0.333, 0.333, 0.500], [0.340, 0.037, 0.725], [0.340, 0.623, 0.275], [0.623, 0.340, 0.725], [0.037, 0.623, 0.725], [0.623, 0.037, 0.275], [0.037, 0.340, 0.275], [0.667, 0.667, 0.500], [0.000, 0.000, 0.000]],
  "total_magnetization_mub_per_cell": 0.9,
  "formation_energy_uncorrected_ev_per_atom": -1.8767
}

***

No. 16
{
  "formula": "Na2TlPd",
  "functional": "GGA-PBE",
  "state": "optimized geometry",
  "cell": [[3.213, 0.000, 0.000], [1.607, 2.783, 0.000], [1.607, 0.928, 11.024]],
  "species": ["Pd", "Tl", "Na", "Na"],
  "fractional_positions": [[0.000, 0.000, 0.000], [0.500, 0.500, 0.500], [0.919, 0.919, 0.243], [0.081, 0.081, 0.757]],
  "total_magnetization_mub_per_cell": 0.0,
  "delta_e_f_ev_per_atom": 0.178
}

***

No. 17
{
  "formula": "Tb2ErPbC",
  "functional": "GGA-PBE",
  "state": "optimized geometry",
  "cell": [[-0.950, -0.284, -4.765], [4.833, -0.533, -0.932], [-0.468, -4.913, 0.386]],
  "species": ["Tb", "Tb", "Pb", "C", "Er"],
  "fractional_positions": [[0.000, 0.500, 0.000], [0.000, 0.000, 0.500], [0.500, 0.500, 0.500], [0.000, 0.000, 0.000], [0.500, 0.000, 0.000]],
  "total_magnetization_mub_per_cell": 0.0,
  "delta_e_f_ev_per_atom": -0.538
}

***

No. 18
{
  "formula": "BaAuI",
  "functional": "GGA-PBE",
  "state": "optimized geometry",
  "cell": [[-0.702, -5.304, 1.962], [0.107, -4.410, -3.607], [4.399, -3.622, 0.058]],
  "species": ["Au", "Ba", "I"],
  "fractional_positions": [[0.500, 0.500, 0.500], [0.250, 0.250, 0.250], [0.000, 0.000, 0.000]],
  "relative_energy_mev_per_atom": 134,
  "total_magnetization_mub_per_cell": 0.0,
  "formation_energy_uncorrected_ev_per_atom": -1.0677
}

***

No. 19
{
  "formula": "TlCd2NiHg",
  "functional": "GGA-PBE",
  "state": "optimized geometry",
  "cell": [[5.059, 0.000, 0.000], [0.000, 5.059, 0.000], [0.000, 0.000, 5.069]],
  "species": ["Hg", "Cd", "Cd", "Tl", "Ni"],
  "fractional_positions": [[0.000, 0.000, 0.500], [0.000, 0.500, 0.000], [0.500, 0.000, 0.000], [0.500, 0.500, 0.500], [0.000, 0.000, 0.000]],
  "relative_energy_mev_per_atom": 11,
  "total_magnetization_mub_per_cell": 0.0,
  "delta_e_f_ev_per_atom": 0.118
}

***

No. 20
{
  "formula": "ZrTe2AsN",
  "functional": "GGA-PBE",
  "state": "optimized geometry",
  "cell": [[-3.975, -2.072, -3.585], [-2.895, -2.163, 4.460], [-2.060, 3.407, 0.315]],
  "species": ["Te", "Te", "N", "As", "Zr"],
  "fractional_positions": [[0.500, 0.000, 0.000], [0.000, 0.500, 0.000], [0.000, 0.000, 0.500], [0.500, 0.500, 0.500], [0.000, 0.000, 0.000]],
  "relative_energy_mev_per_atom": 0,
  "total_magnetization_mub_per_cell": 0.0,
  "formation_energy_uncorrected_ev_per_atom": 0.2675
}